[1]
An optimized crystal structure of SrInTe2. Source: the Alexandria database, functional PBE-GGA.

Calculated values
- final energy (eV/atom) = -3.6231
- SG = Cm (8)
- formation energy (no corrections) (meV per atom) = -947

Cell lengths 7.2724, 7.2724, 4.5892 Å; angles 90.00, 90.00, 34.76 degrees
Fractional positions:
1 Sr 0.2848 0.2848 0.1255
2 Te 0.7203 0.7203 0.6254
3 In 0.5138 0.5138 0.6248
4 Te 0.9810 0.9810 0.1244

[2]
An optimized crystal structure of Sr2InTe. Source: the Alexandria database, functional PBE-GGA.

Calculated values
- final energy (eV/atom) = -2.6371
- SG = F-43m (216)
- formation energy (no corrections) (meV per atom) = -326

Cell lengths 5.8049, 5.8049, 5.8049 Å; angles 60.00, 60.00, 60.00 degrees
Fractional positions:
1 Sr 0.0000 0.0000 0.0000
2 In 0.5000 0.5000 0.5000
3 Te 0.7500 0.7500 0.7500
4 Sr 0.2500 0.2500 0.2500

[3]
An optimized crystal structure of SrIn2Te. Source: the Alexandria database, functional PBE-GGA.

Calculated values
- final energy (eV/atom) = -3.1091
- SG = Imm2 (44)
- formation energy (no corrections) (meV per atom) = -534

Cell lengths 6.1682, 6.1682, 4.9195 Å; angles 66.47, 66.47, 46.81 degrees
Fractional positions:
1 Te 0.7494 0.7494 0.7512
2 In 0.2498 0.2498 0.2503
3 Sr 0.4992 0.4992 0.5005
4 In 0.0016 0.0016 0.9980

[4]
An optimized crystal structure of Sr2InTe. Source: the Alexandria database, functional PBE-GGA.

Calculated values
- final energy (eV/atom) = -3.0132
- SG = Fm-3m (225)
- formation energy (no corrections) (meV per atom) = -702

Cell lengths 5.8019, 5.8019, 5.8019 Å; angles 60.00, 60.00, 60.00 degrees
Fractional positions:
1 In 0.0000 0.0000 0.0000
2 Sr 0.7500 0.7500 0.7500
3 Te 0.5000 0.5000 0.5000
4 Sr 0.2500 0.2500 0.2500

[5]
An optimized crystal structure of SrIn2Te. Source: the Alexandria database, functional PBE-GGA.

Calculated values
- final energy (eV/atom) = -3.0084
- SG = R3m (160)
- formation energy (no corrections) (meV per atom) = -433

Cell lengths 8.9272, 8.9272, 8.9272 Å; angles 28.18, 28.18, 28.18 degrees
Fractional positions:
1 In 0.0011 0.0011 0.0011
2 Sr 0.4924 0.4924 0.4924
3 In 0.2610 0.2610 0.2610
4 Te 0.7456 0.7456 0.7456

[6]
An optimized crystal structure of SrInTe. Source: the Alexandria database, functional PBE-GGA.

Calculated values
- final energy (eV/atom) = -3.1830
- SG = I4mm (107)
- formation energy (no corrections) (meV per atom) = -662

Cell lengths 6.4478, 6.4478, 6.4478 Å; angles 142.71, 142.71, 53.76 degrees
Fractional positions:
1 Sr 0.3226 0.3226 0.0000
2 In 0.0129 0.0129 0.0000
3 Te 0.6645 0.6645 0.0000

[7]
An optimized crystal structure of SrIn2Te4. Source: the Alexandria database, functional PBE-GGA.

Calculated values
- final energy (eV/atom) = -3.4785
- SG = I4/m (87)
- formation energy (no corrections) (meV per atom) = -661

Cell lengths 7.1333, 7.1333, 7.1333 Å; angles 104.67, 104.67, 119.57 degrees
Fractional positions:
1 In 0.2500 0.7500 0.5000
2 Te 0.6913 0.8327 0.5240
3 Te 0.1673 0.6913 0.8585
4 Te 0.8327 0.3087 0.1415
5 Te 0.3087 0.1673 0.4760
6 In 0.7500 0.2500 0.5000
7 Sr 0.5000 0.5000 0.0000

[8]
An optimized crystal structure of SrIn2Te. Source: the Alexandria database, functional PBE-GGA.

Calculated values
- final energy (eV/atom) = -2.8205
- SG = R-3m (166)
- formation energy (no corrections) (meV per atom) = -245

Cell lengths 9.3260, 9.3260, 9.3260 Å; angles 26.12, 26.12, 26.12 degrees
Fractional positions:
1 In 0.4889 0.4889 0.4889
2 Sr 0.2500 0.2500 0.2500
3 Te 0.7500 0.7500 0.7500
4 In 0.0111 0.0111 0.0111

[9]
An optimized crystal structure of SrInTe. Source: the Alexandria database, functional PBE-GGA.

Calculated values
- final energy (eV/atom) = -3.2966
- SG = Immm (71)
- formation energy (no corrections) (meV per atom) = -776

Cell lengths 5.3608, 4.3301, 10.3088 Å; angles 102.12, 105.07, 90.00 degrees
Fractional positions:
1 Sr 0.6626 0.1626 0.3253
2 Te 0.1676 0.6676 0.3353
3 Sr 0.3374 0.8374 0.6747
4 Te 0.8324 0.3324 0.6647
5 In 0.7523 0.5000 0.0000
6 In 0.2477 0.5000 0.0000

[10]
An optimized crystal structure of SrInTe2. Source: the Alexandria database, functional PBE-GGA.

Calculated values
- final energy (eV/atom) = -3.6152
- SG = P-1 (2)
- formation energy (no corrections) (meV per atom) = -939

Cell lengths 4.4100, 9.4355, 8.4824 Å; angles 105.87, 105.06, 103.49 degrees
Fractional positions:
1 In 0.1800 0.0317 0.1093
2 Sr 0.3102 0.8715 0.5298
3 Te 0.8198 0.0657 0.3551
4 Te 0.6401 0.2717 0.7866
5 In 0.2805 0.3059 0.0326
6 Te 0.8931 0.7722 0.7948
7 Sr 0.1495 0.4659 0.6118
8 Te 0.5666 0.5652 0.3469

[11]
An optimized crystal structure of Sr2InTe. Source: the Alexandria database, functional PBE-GGA.

Calculated values
- final energy (eV/atom) = -3.2131
- SG = P4/mmm (123)
- formation energy (no corrections) (meV per atom) = -902

Cell lengths 4.1074, 4.1141, 9.0856 Å; angles 63.10, 90.00, 90.00 degrees
Fractional positions:
1 Sr 0.0000 0.5088 0.4912
2 Te 0.5000 0.2500 0.2500
3 In 0.5000 0.7500 0.7500
4 Sr 0.0000 0.9912 0.0088

[12]
An optimized crystal structure of SrIn4Te7. Source: the Alexandria database, functional PBE-GGA.

Calculated values
- final energy (eV/atom) = -3.4025
- SG = Pmn2_1 (31)
- formation energy (no corrections) (meV per atom) = -517

Cell lengths 7.3215, 7.4933, 17.7779 Å; angles 90.00, 90.00, 90.00 degrees
Fractional positions:
1 Te 0.4430 0.8267 0.0000
2 Te 0.9886 0.7177 0.1066
3 In 0.6110 0.6446 0.8781
4 Te 0.9943 0.2089 0.2370
5 Te 0.4886 0.2823 0.3934
6 Te 0.4886 0.2823 0.6066
7 Te 0.9430 0.1733 0.5000
8 Te 0.9993 0.7146 0.3905
9 In 0.1110 0.3554 0.3781
10 In 0.1031 0.8415 0.7516
11 Te 0.4993 0.2854 0.8905
12 In 0.6031 0.1585 0.7484
13 In 0.6031 0.1585 0.2516
14 Te 0.4993 0.2854 0.1095
15 Sr 0.3189 0.9326 0.5000
16 Sr 0.8189 0.0674 0.0000
17 In 0.1031 0.8415 0.2484
18 Te 0.4943 0.7911 0.7370
19 Te 0.9943 0.2089 0.7630
20 In 0.1110 0.3554 0.6219
21 Te 0.4943 0.7911 0.2630
22 In 0.6110 0.6446 0.1219
23 Te 0.9993 0.7146 0.6095
24 Te 0.9886 0.7177 0.8934

no.,magnetic moment (μB per atom)
1,0.0000
2,0.0000
3,0.0000
4,0.0000
5,0.0000
6,0.0000
7,0.0000
8,0.0001
9,0.0001
10,0.0000
11,0.0000
12,0.0000